## YPAu2F (PBE)

Data for an optimized crystal structure of YPAu2F.

Computed properties:
Symmetry   P4/mmm
E_tot   -4.222 eV/atom
ΔE_f (raw)   -0.162 eV/atom

Cell lengths 4.815, 4.277, 4.815 Å; angles 90.00, 90.00, 90.00 degrees
Atoms (fractional coordinates):
Y 0.500 0.500 0.500
P 0.000 0.500 0.000
Au 0.000 0.000 0.500
Au 0.500 0.000 0.000
F 0.000 0.000 0.000